Entry from Alexandria via LeMat-Bulk: crystalline Ac3C2O8 at its relaxed geometry (PBE).

## Properties
As for the spin magnetization: 0.08 μB/atom. The energy is -0.5660 Ry/atom. The uncorrected formation energy comes out at -2.28 eV/atom. As for the density of states at the Fermi level: 3.0 states/eV per cell.

a b c (Å): 7.640 7.640 7.640
angles (deg): 40.34 40.34 40.34
Atoms (fractional coordinates):
Ac: 0.000 0.000 0.000
Ac: 0.217 0.217 0.217
Ac: 0.783 0.783 0.783
C: 0.405 0.405 0.405
C: 0.595 0.595 0.595
O: 0.278 0.719 0.719
O: 0.281 0.281 0.722
O: 0.281 0.722 0.281
O: 0.338 0.338 0.338
O: 0.662 0.662 0.662
O: 0.719 0.278 0.719
O: 0.719 0.719 0.278
O: 0.722 0.281 0.281